Run w
This record from the Alexandria database describes a relaxed structure of TlHg2Mo. The functional is PBE-GGA.

Geometry as CIF:
```
data_TlHg2Mo
_chemical_formula_sum 'Tl2 Hg4 Mo2'
_cell_length_a 2.901
_cell_length_b 4.960
_cell_length_c 13.937
_cell_angle_alpha 90.00
_cell_angle_beta 90.00
_cell_angle_gamma 90.00
_space_group_name_H-M_alt 'I m m 2'
_space_group_IT_number 44
_space_group_name_Hall 'I 2 -2'
loop_
_atom_site_label
_atom_site_type_symbol
_atom_site_fract_x
_atom_site_fract_y
_atom_site_fract_z
Tl1 Tl 0.000 0.000 0.000
Hg1 Hg 0.000 0.000 0.636
Hg2 Hg 0.000 0.500 0.816
Mo1 Mo 0.000 0.500 0.315
```

=====

Run x
This record from the Alexandria database describes a relaxed structure of TlHg2Mo. The functional is PBE-GGA.

Geometry as CIF:
```
data_TlHg2Mo
_chemical_formula_sum 'Tl1 Hg2 Mo1'
_cell_length_a 3.005
_cell_length_b 5.285
_cell_length_c 5.469
_cell_angle_alpha 90.00
_cell_angle_beta 90.00
_cell_angle_gamma 90.00
_space_group_name_H-M_alt 'P m m m'
_space_group_IT_number 47
_space_group_name_Hall '-P 2 2'
loop_
_atom_site_label
_atom_site_type_symbol
_atom_site_fract_x
_atom_site_fract_y
_atom_site_fract_z
Tl1 Tl 0.000 0.000 0.000
Hg1 Hg 0.000 0.500 0.500
Hg2 Hg 0.500 0.000 0.500
Mo1 Mo 0.500 0.500 0.000
```

=====

What should be chosen as the least stable of them? Choose run x.

=====

Run w
This record from the Alexandria database describes a relaxed structure of Li2TaW. The functional is PBE-GGA.

Geometry as CIF:
```
data_Li2TaW
_chemical_formula_sum 'Li2 Ta1 W1'
_cell_length_a 4.585
_cell_length_b 4.585
_cell_length_c 2.737
_cell_angle_alpha 90.00
_cell_angle_beta 90.00
_cell_angle_gamma 90.00
_space_group_name_H-M_alt 'P 4/m m m'
_space_group_IT_number 123
_space_group_name_Hall '-P 4 2'
loop_
_atom_site_label
_atom_site_type_symbol
_atom_site_fract_x
_atom_site_fract_y
_atom_site_fract_z
Li1 Li 0.000 0.500 0.000
Ta1 Ta 0.000 0.000 0.500
W1 W 0.500 0.500 0.500
```

=====

Run x
This record from the Alexandria database describes a relaxed structure of Li2TaW. The functional is PBE-GGA.

Geometry as CIF:
```
data_Li2TaW
_chemical_formula_sum 'Li4 Ta2 W2'
_cell_length_a 2.980
_cell_length_b 4.381
_cell_length_c 10.183
_cell_angle_alpha 90.00
_cell_angle_beta 90.00
_cell_angle_gamma 90.00
_space_group_name_H-M_alt 'I m m m'
_space_group_IT_number 71
_space_group_name_Hall '-I 2 2'
loop_
_atom_site_label
_atom_site_type_symbol
_atom_site_fract_x
_atom_site_fract_y
_atom_site_fract_z
Li1 Li 0.000 0.000 0.244
Ta1 Ta 0.000 0.500 0.000
W1 W 0.000 0.500 0.500
```

=====

What should be chosen as the least stable of them? Choose run w.

=====

Run w
This record from the Alexandria database describes a relaxed structure of KLa2Fe. The functional is PBE-GGA.

Geometry as CIF:
```
data_KLa2Fe
_chemical_formula_sum 'K2 La4 Fe2'
_cell_length_a 7.149
_cell_length_b 4.127
_cell_length_c 10.727
_cell_angle_alpha 90.00
_cell_angle_beta 102.64
_cell_angle_gamma 90.00
_space_group_name_H-M_alt 'C 1 m 1'
_space_group_IT_number 8
_space_group_name_Hall 'C -2y'
loop_
_atom_site_label
_atom_site_type_symbol
_atom_site_fract_x
_atom_site_fract_y
_atom_site_fract_z
K1 K 0.000 0.000 0.000
La1 La 0.204 0.000 0.637
La2 La 0.479 0.000 0.365
Fe1 Fe 0.401 0.500 0.505
```

=====

Run x
This record from the Alexandria database describes a relaxed structure of KLa2Fe. The functional is PBE-GGA.

Geometry as CIF:
```
data_KLa2Fe
_chemical_formula_sum 'K1 La2 Fe1'
_cell_length_a 5.299
_cell_length_b 5.299
_cell_length_c 4.414
_cell_angle_alpha 90.00
_cell_angle_beta 90.00
_cell_angle_gamma 90.00
_space_group_name_H-M_alt 'P 4/m m m'
_space_group_IT_number 123
_space_group_name_Hall '-P 4 2'
loop_
_atom_site_label
_atom_site_type_symbol
_atom_site_fract_x
_atom_site_fract_y
_atom_site_fract_z
K1 K 0.000 0.000 0.000
La1 La 0.000 0.500 0.500
Fe1 Fe 0.500 0.500 0.000
```

=====

What should be chosen as the least stable of them? Choose run x.

=====

Run w
This record from the Alexandria database describes a relaxed structure of DyScPb. The functional is PBE-GGA.

Geometry as CIF:
```
data_DyScPb
_chemical_formula_sum 'Dy1 Sc1 Pb1'
_cell_length_a 5.0142
_cell_length_b 5.0142
_cell_length_c 3.7975
_cell_angle_alpha 90.00
_cell_angle_beta 90.00
_cell_angle_gamma 120.00
_space_group_name_H-M_alt 'P 3 m 1'
_space_group_IT_number 156
_space_group_name_Hall 'P 3 -2"'
loop_
_atom_site_label
_atom_site_type_symbol
_atom_site_fract_x
_atom_site_fract_y
_atom_site_fract_z
Dy1 Dy 0.0000 0.0000 0.0000
Sc1 Sc 0.3333 0.6667 0.4996
Pb1 Pb 0.6667 0.3333 0.5018
```

=====

Run x
This record from the Alexandria database describes a relaxed structure of DyScPb. The functional is PBE-GGA.

Geometry as CIF:
```
data_DyScPb
_chemical_formula_sum 'Dy2 Sc2 Pb2'
_cell_length_a 4.450
_cell_length_b 4.450
_cell_length_c 8.257
_cell_angle_alpha 90.00
_cell_angle_beta 90.00
_cell_angle_gamma 90.00
_space_group_name_H-M_alt 'P 4/n m m'
_space_group_IT_number 129
loop_
_space_group_symop_operation_xyz
'x,y,z'
'-x,-y,-z'
'-y+1/2,x,z'
'y+1/2,-x,-z'
'-x+1/2,-y+1/2,z'
'x+1/2,y+1/2,-z'
'y,-x+1/2,z'
'-y,x+1/2,-z'
'x+1/2,-y,-z'
'-x+1/2,y,z'
'-y,-x,-z'
'y,x,z'
'-x,y+1/2,-z'
'x,-y+1/2,z'
'y+1/2,x+1/2,-z'
'-y+1/2,-x+1/2,z'
loop_
_atom_site_label
_atom_site_type_symbol
_atom_site_fract_x
_atom_site_fract_y
_atom_site_fract_z
Dy1 Dy 0.250 0.250 0.159
Sc1 Sc 0.250 0.750 0.500
Pb1 Pb 0.250 0.250 0.768
```

=====

What should be chosen as the least stable of them? Choose run w.